Material: Ca3La2Au4
Method: DFT, PBE
State: relaxed

Structure (extended XYZ):
```
18
Lattice="7.7097 -0.1373 0.0000 -2.6677 7.7923 0.0000 0.0000 0.0000 8.2535" Properties=species:S:1:pos:R:3 pbc="T T T"
Ca 5.0642 1.8345 6.8314
Ca 2.5210 3.8275 0.0000
Ca 1.2094 1.9031 5.5489
Ca 3.8326 5.7520 2.7046
Ca -0.0223 5.8206 1.4221
Ca -1.3338 3.8962 4.1268
Au 6.2904 0.4808 4.3867
Au 5.4063 3.6126 1.1231
Au 1.5515 3.6813 3.0037
Au 2.6064 7.1057 0.2599
Au 3.4905 3.9738 5.2498
Au -0.3643 4.0425 7.1304
Au 2.4356 0.5494 7.9936
Au -1.2484 7.1743 3.8668
La 5.1416 6.1905 6.7986
La -0.0996 1.4646 1.4549
La 1.2867 6.2591 5.5817
La 3.7552 1.3960 2.6718
```

- calculated density (g/cm³) = 7.99
- total magnetic moment (Bohr magnetons per cell) = 0.0
- DFT total energy (eV per atom) = -3.97
- symmetry = No. 14
- energy of formation from the pure elements (eV/atom) = -0.7518